# CuAs2SeS

A relaxed structure of CuAs2SeS (GGA-PBEsol, the Alexandria database).

- symmetry = P4/mmm
- spin magnetization (μB/f.u.) = 0.0
- Fermi-level density of states (states/eV/f.u.) = 4.14
- raw formation energy (kJ/mol of formula units) = 282

abc: 4.201 4.784 4.784
angles: 90.00 90.00 90.00
Fractional positions:
Se: 0.500 0.500 0.500
Cu: 0.000 0.000 0.000
As: 0.000 0.500 0.000
As: 0.000 0.000 0.500
S: 0.500 0.000 0.000